# PBE AsPCl2, optimized geometry
data_AsPCl2
_symmetry_space_group_name_H-M 'R -3 m'
_symmetry_Int_Tables_number 166
_symmetry_space_group_name_Hall '-R 3 2"'
_cell_length_a 3.1535
_cell_length_b 3.1535
_cell_length_c 27.9802
_cell_angle_alpha 90.00
_cell_angle_beta 90.00
_cell_angle_gamma 120.00
loop_
_atom_site_label
_atom_site_fract_x
_atom_site_fract_y
_atom_site_fract_z
As1 0.0000 0.0000 0.0000
P1 0.0000 0.0000 0.5000
Cl1 0.0000 0.0000 0.4190
# raw formation energy = 1.28 eV/f.u.
# excess energy over the best structure of this formula in the dataset = 692 meV per atom
# E_tot = -3.1175 eV/atom
# mass density = 3.66 Mg/m³